No. 1
A plane-wave DFT calculation with PBE was carried out for crystalline ThScTl at its relaxed geometry.

CIF file:
```
data_ThScTl
_cell_length_a 5.0850
_cell_length_b 5.0850
_cell_length_c 3.7955
_cell_angle_alpha 90.00
_cell_angle_beta 90.00
_cell_angle_gamma 120.00
_space_group_name_H-M_alt 'P 3 m 1'
_space_group_IT_number 156
_space_group_name_Hall 'P 3 -2"'
loop_
_atom_site_label
_atom_site_type_symbol
_atom_site_fract_x
_atom_site_fract_y
_atom_site_fract_z
Th1 Th 0.0000 0.0000 0.0000
Sc1 Sc 0.6667 0.3333 0.4993
Tl1 Tl 0.3333 0.6667 0.5013
```

Results
Electronic total energy (eV/atom): -5.391
DOS(E_F) (states/eV/atom): 1.31
ΔE_f (kJ/mol of formula units): -5
Energy relative to the lowest polymorph listed for this composition (meV/atom): 163
Crystal system: trigonal

No. 2
A plane-wave DFT calculation with PBE was carried out for crystalline ThSc9Tl2 at its relaxed geometry.

CIF file:
```
data_ThSc9Tl2
_cell_length_a 4.5922
_cell_length_b 4.5922
_cell_length_c 13.8042
_cell_angle_alpha 90.00
_cell_angle_beta 90.00
_cell_angle_gamma 90.00
_space_group_name_H-M_alt 'P 4/m m m'
_space_group_IT_number 123
_space_group_name_Hall '-P 4 2'
loop_
_atom_site_label
_atom_site_type_symbol
_atom_site_fract_x
_atom_site_fract_y
_atom_site_fract_z
Th1 Th 0.0000 0.0000 0.0000
Sc1 Sc 0.0000 0.5000 0.1724
Sc2 Sc 0.0000 0.5000 0.5000
Sc3 Sc 0.5000 0.5000 0.0000
Sc4 Sc 0.5000 0.5000 0.3400
Tl1 Tl 0.0000 0.0000 0.3380
```

Results
Electronic total energy (eV/atom): -5.861
DOS(E_F) (states/eV/atom): 1.62
ΔE_f (kJ/mol of formula units): -115
Crystal system: tetragonal

No. 3
A plane-wave DFT calculation with PBE was carried out for crystalline TmThScTl at its relaxed geometry.

CIF file:
```
data_TmThScTl
_cell_length_a 7.5507
_cell_length_b 7.5507
_cell_length_c 7.5507
_cell_angle_alpha 90.00
_cell_angle_beta 90.00
_cell_angle_gamma 90.00
_space_group_name_H-M_alt 'F -4 3 m'
_space_group_IT_number 216
_space_group_name_Hall 'F -4 2 3'
loop_
_atom_site_label
_atom_site_type_symbol
_atom_site_fract_x
_atom_site_fract_y
_atom_site_fract_z
Tm1 Tm 0.0000 0.0000 0.0000
Th1 Th 0.2500 0.2500 0.2500
Sc1 Sc 0.0000 0.0000 0.5000
Tl1 Tl 0.2500 0.2500 0.7500
```

Results
Electronic total energy (eV/atom): -5.074
DOS(E_F) (states/eV/atom): 1.74
ΔE_f (kJ/mol of formula units): 28
Crystal system: cubic